A relaxed WAuOF2 crystal. Source: Alexandria via LeMat-Bulk, functional PBE+U.

Results
The value obtained for the energy above the most stable polymorph in this dataset is 1192.6 meV/atom. The total magnetic moment is 4.17 μB per formula unit. Its energy is -0.284 Ry per atom.

Structure (CIF):
```
data_WAuOF2
_cell_length_a 4.298
_cell_length_b 4.298
_cell_length_c 4.425
_cell_angle_alpha 90.00
_cell_angle_beta 90.00
_cell_angle_gamma 90.00
_symmetry_space_group_name_H-M 'P 4/m m m'
_symmetry_Int_Tables_number 123
_symmetry_space_group_name_Hall '-P 4 2'
loop_
_atom_site_label
_atom_site_type_symbol
_atom_site_fract_x
_atom_site_fract_y
_atom_site_fract_z
_atom_site_occupancy
W1 W 0.000 0.000 0.000 1
Au1 Au 0.500 0.500 0.500 1
O1 O 0.500 0.500 0.000 1
F1 F 0.000 0.500 0.500 1
```